Arrangement 1

{"formula": "Ag4I3Br", "functional": "PBE", "state": "relaxed", "vol_a3_per_atom": 32.7, "lattice": [[3.112, -3.141, 0.000], [3.112, 3.141, 0.000], [0.000, 0.000, 13.404]], "species": ["Ag", "I", "Ag", "I", "Ag", "Ag", "I", "Br"], "fractional_positions": [[0.750, 0.750, 0.753], [0.000, 0.000, 0.592], [0.754, 0.246, 0.244], [0.500, 0.500, 0.914], [0.246, 0.754, 0.244], [0.250, 0.250, 0.753], [0.500, 0.500, 0.402], [0.000, 0.000, 0.096]]}

=====

Arrangement 2

{"formula": "Ag4I3Br", "functional": "PBE", "state": "relaxed", "vol_a3_per_atom": 34.1, "lattice": [[-3.230, 3.230, 6.532], [3.230, -3.230, 6.532], [3.230, 3.230, -6.532]], "species": ["Ag", "I", "Ag", "Ag", "I", "Ag", "Br", "I"], "fractional_positions": [[0.122, 0.122, 0.488], [0.750, 0.250, 0.500], [0.878, 0.366, 0.000], [0.366, 0.878, 0.000], [0.500, 0.500, 0.000], [0.634, 0.634, 0.512], [0.000, 0.000, 0.000], [0.250, 0.750, 0.500]]}

=====

Among the structures shown above, arrangement 2 is the most stable, with the second-best lying 0.099 eV/atom higher.